(1)
Entry from Alexandria: an optimized crystal structure of BaPa2Se6 (GGA-PBE).

Geometry as POSCAR:
```
BaPa2Se6
1.0
7.5615 -6.0293 0.0000
7.5615 6.0293 0.0000
-3.1442 0.0000 6.7563
Ba Pa Se
2 4 12
direct
0.1854 0.8146 0.7500
0.8146 0.1854 0.2500
0.1752 0.3356 0.0641
0.3356 0.1752 0.5641
0.6644 0.8248 0.4359
0.8248 0.6644 0.9359
0.0853 0.1687 0.6666
0.1273 0.6006 0.9780
0.1687 0.0853 0.1666
0.2680 0.4448 0.4741
0.3994 0.8727 0.5220
0.4448 0.2680 0.9741
0.5552 0.7320 0.0259
0.6006 0.1273 0.4780
0.7320 0.5552 0.5259
0.8313 0.9147 0.8334
0.8727 0.3994 0.0220
0.9147 0.8313 0.3334
```

## Properties
magnetization = 0.00 μB/f.u.
SG = No. 15
polymorph energy (0 for the lowest one) = 0 meV/atom
final energy = -6.160 eV/atom

=====

(2)
Entry from Alexandria: an optimized crystal structure of Ba3Pa2Se7 (GGA-PBE).

Geometry as POSCAR:
```
Ba3Pa2Se7
1.0
2.8031 -13.2715 0.0000
2.8031 13.2715 0.0000
0.0000 0.0000 5.4450
Ba Pa Se
3 2 7
direct
0.0000 0.0000 0.0000
0.1786 0.8214 0.0000
0.8214 0.1786 0.0000
0.3941 0.6059 0.5000
0.6059 0.3941 0.5000
0.0984 0.9016 0.5000
0.2914 0.7086 0.5000
0.3986 0.6014 0.0000
0.5000 0.5000 0.5000
0.6014 0.3986 0.0000
0.7086 0.2914 0.5000
0.9016 0.0984 0.5000
```

## Properties
magnetization = 1.90 μB/f.u.
SG = No. 65
final energy = -5.673 eV/atom

=====

(3)
Entry from Alexandria: an optimized crystal structure of BaPa2Se7 (GGA-PBE).

Geometry as POSCAR:
```
BaPa2Se7
1.0
4.2843 -6.7556 0.0000
4.2843 6.7556 0.0000
0.0000 0.0000 5.4437
Ba Pa Se
1 2 7
direct
0.0000 0.0000 0.0000
0.2901 0.7099 0.5000
0.7099 0.2901 0.5000
0.0795 0.3223 0.5000
0.2750 0.7250 0.0000
0.3223 0.0795 0.5000
0.5000 0.5000 0.5000
0.6777 0.9205 0.5000
0.7250 0.2750 0.0000
0.9205 0.6777 0.5000
```

## Properties
magnetization = 0.00 μB/f.u.
SG = No. 65
final energy = -5.783 eV/atom

=====

(4)
Entry from Alexandria: an optimized crystal structure of Ba2Pa2Se5 (GGA-PBE).

Geometry as POSCAR:
```
Ba2Pa2Se5
1.0
7.4134 -2.8206 0.0000
7.4134 2.8206 0.0000
-4.8526 0.0000 7.0493
Ba Pa Se
2 2 5
direct
0.1202 0.1202 0.4598
0.8798 0.8798 0.5402
0.3787 0.3787 0.0904
0.6213 0.6213 0.9096
0.1400 0.1400 0.8884
0.3812 0.3812 0.7580
0.5000 0.5000 0.5000
0.6188 0.6188 0.2420
0.8600 0.8600 0.1116
```

## Properties
magnetization = 3.10 μB/f.u.
SG = No. 12
final energy = -5.978 eV/atom

=====

no.,ΔE_f (raw) (meV per atom)
1,-1513
2,-1577
3,-1253
4,-1505